# 1
Computed, not measured: a geometry-optimized TcIrNF2 structure at the GGA-PBE level of DFT.

POSCAR file:
```
TcIrNF2
1.0
4.1467 0.0000 0.0000
0.0000 4.1467 0.0000
0.0000 0.0000 3.8293
Tc Ir N F
1 1 1 2
Direct
0.0000 0.0000 0.0000
0.5000 0.5000 0.5000
0.0000 0.0000 0.5000
0.0000 0.5000 0.0000
0.5000 0.0000 0.0000
```

Computed properties:
SG: P4/mmm
Energy above the lowest structure with this stoichiometry: 0.064 eV per atom
ρ: 8.63 g/cm3
Formation energy from raw total energies: 447 meV per atom



# 2
Computed, not measured: a geometry-optimized Pr2Cd5Au4 structure at the GGA-PBE level of DFT.

POSCAR file:
```
Pr2Cd5Au4
1.0
0.0000 4.7680 9.4207
2.9107 0.0000 9.4207
2.9107 4.7680 0.0000
Pr Cd Au
2 5 4
Direct
0.1234 0.1234 0.8766
0.8766 0.8766 0.1234
0.0000 0.0000 0.5000
0.2500 0.2500 0.2500
0.5000 0.5000 0.0000
0.5000 0.5000 0.5000
0.7500 0.7500 0.7500
0.2129 0.5246 0.4754
0.4754 0.7871 0.2129
0.5246 0.2129 0.7871
0.7871 0.4754 0.5246
```

Computed properties:
Energy relative to the elements: -397 meV per atom
SG: Fmmm
ρ: 10.36 g/cm3



# 3
Computed, not measured: a geometry-optimized SrCa3Zn structure at the GGA-PBE level of DFT.

POSCAR file:
```
SrCa3Zn
1.0
6.2163 0.0000 0.0000
0.0000 7.7210 0.0000
-1.4449 0.0000 8.0954
Sr Ca Zn
2 6 2
Direct
0.0220 0.2500 0.0795
0.9780 0.7500 0.9205
0.1027 0.7500 0.4249
0.4491 0.0124 0.7625
0.4491 0.4876 0.7625
0.5509 0.5124 0.2375
0.5509 0.9876 0.2375
0.8973 0.2500 0.5751
0.3463 0.2500 0.4516
0.6537 0.7500 0.5484
```

Computed properties:
Energy relative to the elements: -51 meV per atom
SG: P2_1/m
Energy above the lowest structure with this stoichiometry: 0.027 eV per atom
ρ: 2.34 g/cm3



# 4
Computed, not measured: a geometry-optimized Pr2Si2Ag structure at the GGA-PBE level of DFT.

POSCAR file:
```
Pr2Si2Ag
1.0
5.5425 -2.2240 0.0000
5.5425 2.2240 0.0000
-5.4873 0.0000 9.6073
Pr Si Ag
4 4 2
Direct
0.1014 0.1014 0.4070
0.2936 0.2936 0.8429
0.7064 0.7064 0.1571
0.8986 0.8986 0.5930
0.0382 0.0382 0.9169
0.3827 0.3827 0.3928
0.6173 0.6173 0.6072
0.9618 0.9618 0.0831
0.4240 0.4240 0.1768
0.5760 0.5760 0.8232
```

Computed properties:
SG: C2/m
ρ: 6.25 g/cm3
Formation energy from raw total energies: -582 meV per atom



# 5
Computed, not measured: a geometry-optimized NaSr2YPt structure at the GGA-PBE level of DFT.

POSCAR file:
```
NaSr2YPt
1.0
6.0529 0.0000 0.0000
0.0000 6.0529 0.0000
0.0000 0.0000 5.4637
Na Sr Y Pt
1 2 1 1
Direct
0.0000 0.0000 0.0000
0.0000 0.5000 0.5000
0.5000 0.0000 0.5000
0.5000 0.5000 0.0000
0.5000 0.5000 0.5000
```

Computed properties:
Energy relative to the elements: -375 meV per atom
SG: P4/mmm
ρ: 4.00 g/cm3



# 6
Computed, not measured: a geometry-optimized Ce4CoCl5 structure at the GGA-PBE level of DFT.

POSCAR file:
```
Ce4CoCl5
1.0
8.9306 -1.9011 0.0000
8.9306 1.9011 0.0000
-1.6526 0.0000 8.1171
Ce Co Cl
4 1 5
Direct
0.0026 0.0026 0.2172
0.3324 0.3324 0.9328
0.6676 0.6676 0.0672
0.9974 0.9974 0.7828
0.5000 0.5000 0.0000
0.1635 0.1635 0.8011
0.1659 0.1659 0.3241
0.5000 0.5000 0.5000
0.8341 0.8341 0.6759
0.8365 0.8365 0.1989
```

Computed properties:
SG: C2/m
Energy above the lowest structure with this stoichiometry: 0.000 eV per atom
ρ: 4.80 g/cm3
Formation energy from raw total energies: -1523 meV per atom



# 7
Computed, not measured: a geometry-optimized InFePt structure at the GGA-PBE level of DFT.

POSCAR file:
```
InFePt
1.0
2.9717 0.0000 0.0000
0.0000 2.9717 0.0000
0.0000 0.0000 11.0760
In Fe Pt
2 2 2
Direct
0.0000 0.0000 0.0000
0.5000 0.5000 0.5000
0.0000 0.0000 0.6721
0.5000 0.5000 0.1721
0.0000 0.0000 0.3181
0.5000 0.5000 0.8181
```

Computed properties:
Energy relative to the elements: -65 meV per atom
SG: I4mm
ρ: 12.42 g/cm3



# 8
Computed, not measured: a geometry-optimized Sm4MgIn structure at the GGA-PBE level of DFT.

POSCAR file:
```
Sm4MgIn
1.0
9.2174 0.0000 0.0000
0.0000 5.2121 0.0000
-3.3220 0.0000 8.7073
Sm Mg In
8 2 2
Direct
0.1232 0.0000 0.3737
0.1256 0.5000 0.8734
0.3744 0.0000 0.1266
0.3768 0.5000 0.6263
0.6232 0.5000 0.3737
0.6256 0.0000 0.8734
0.8744 0.5000 0.1266
0.8768 0.0000 0.6263
0.0000 0.0000 0.0000
0.5000 0.5000 0.0000
0.0000 0.5000 0.5000
0.5000 0.0000 0.5000
```

Computed properties:
Energy relative to the elements: 146 meV per atom
SG: C2/m
Energy above the lowest structure with this stoichiometry: 0.121 eV per atom
ρ: 5.88 g/cm3



# 9
Computed, not measured: a geometry-optimized SnHSCl structure at the GGA-PBE level of DFT.

POSCAR file:
```
SnHSCl
1.0
8.5324 0.0000 0.0000
0.0000 3.3579 0.0000
-1.2206 0.0000 6.7888
Sn H S Cl
2 2 2 2
Direct
0.0000 0.0000 0.0000
0.5000 0.5000 0.0000
0.2417 0.0000 0.6910
0.7417 0.5000 0.6910
0.2301 0.5000 0.7442
0.7301 0.0000 0.7442
0.3905 0.0000 0.2453
0.8905 0.5000 0.2453
```

Computed properties:
SG: Cm
ρ: 3.20 g/cm3
Energy: -3.61 eV/atom



# 10
Computed, not measured: a geometry-optimized SiGe2Pd structure at the GGA-PBE level of DFT.

POSCAR file:
```
SiGe2Pd
1.0
4.1175 0.0000 0.0000
-2.0587 3.5658 0.0000
0.0000 0.0000 19.5134
Si Ge Pd
3 6 3
Direct
0.0000 0.0000 0.0000
0.3333 0.6667 0.6667
0.6667 0.3333 0.3333
0.0000 0.0000 0.1232
0.0000 0.0000 0.8768
0.3333 0.6667 0.5434
0.3333 0.6667 0.7899
0.6667 0.3333 0.2101
0.6667 0.3333 0.4566
0.0000 0.0000 0.5000
0.3333 0.6667 0.1667
0.6667 0.3333 0.8333
```

Computed properties:
SG: R-3m
ρ: 4.86 g/cm3
Formation energy from raw total energies: 408 meV per atom



# 11
Computed, not measured: a geometry-optimized SrPrH8Pt2 structure at the GGA-PBE level of DFT.

POSCAR file:
```
SrPrH8Pt2
1.0
2.4437 1.4109 6.6140
-2.4437 1.4109 6.6140
0.0000 -2.8218 6.6140
Sr Pr H Pt
1 1 8 2
Direct
0.0000 0.0000 0.0000
0.5000 0.5000 0.5000
0.0881 0.5470 0.5470
0.1495 0.1495 0.1495
0.4530 0.4530 0.9119
0.4530 0.9119 0.4530
0.5470 0.0881 0.5470
0.5470 0.5470 0.0881
0.8505 0.8505 0.8505
0.9119 0.4530 0.4530
0.2345 0.2345 0.2345
0.7655 0.7655 0.7655
```

Computed properties:
SG: R-3m
ρ: 7.61 g/cm3
Energy: -4.09 eV/atom



# 12
Computed, not measured: a geometry-optimized La4TlIn2Ga structure at the GGA-PBE level of DFT.

POSCAR file:
```
La4TlIn2Ga
1.0
2.7756 1.6025 9.0486
-2.7756 1.6025 9.0486
0.0000 -3.2049 9.0486
La Tl In Ga
4 1 2 1
Direct
0.1202 0.1202 0.1202
0.3705 0.3705 0.3705
0.6295 0.6295 0.6295
0.8798 0.8798 0.8798
0.5000 0.5000 0.5000
0.2469 0.2469 0.2469
0.7531 0.7531 0.7531
0.0000 0.0000 0.0000
```

Computed properties:
Energy relative to the elements: -494 meV per atom
SG: R-3m
ρ: 7.28 g/cm3



Which formula does entry 10 have?
SiGe2Pd